Computed, not measured: an optimized crystal structure of ErCdPd5 at the PBE level of DFT.

Geometry as POSCAR:
```
ErCdPd5
1.0
4.622 0.000 0.000
0.000 4.622 0.000
0.000 0.000 6.178
Er Cd Pd
1 1 5
Direct
0.500 0.500 0.000
0.000 0.000 0.500
0.000 0.500 0.754
0.000 0.500 0.246
0.500 0.000 0.754
0.500 0.000 0.246
0.500 0.500 0.500
```

Output
**Space-group type**: No. 123
**Polymorph energy (0 for the lowest one)**: 0.000 eV per atom
**DFT total energy**: -33.94 eV/cell
**Calculated formation energy**: -0.357 eV per atom